{"formula": "MgAsRh2", "functional": "PBE", "state": "relaxed", "cell": [[3.1374, 0.0135, 0.0000], [-0.0125, 3.1375, 0.0000], [0.0000, 0.0000, 6.1048]], "species": ["Rh", "Rh", "Mg", "As"], "frac_coords": [[0.0000, 0.0000, 0.4849], [0.0000, 0.0000, 0.0151], [0.5000, 0.5000, 0.7500], [0.5000, 0.5000, 0.2500]], "vol_a3_per_atom": 15.02, "formation_enthalpy_0k_ev_per_fu": -1.770}